Entry from Alexandria via LeMat-Bulk: a geometry-optimized Mn4InSe8 structure (GGA-PBE).

## Properties
**Raw formation energy**: -449 meV/atom
**Raw total energy**: -5.626 eV per atom
**Space-group type**: No. 216
**Crystal system**: cubic

a b c (Å): 7.553 7.553 7.553
angles (deg): 60.00 60.00 60.00
Fractional positions:
1 Se 0.174 0.609 0.609
2 Mn 0.903 0.366 0.366
3 In 0.750 0.750 0.750
4 Se 0.131 0.131 0.607
5 Se 0.131 0.607 0.131
6 Se 0.609 0.174 0.609
7 Mn 0.366 0.366 0.366
8 Se 0.609 0.609 0.174
9 Se 0.131 0.131 0.131
10 Mn 0.366 0.366 0.903
11 Se 0.607 0.131 0.131
12 Mn 0.366 0.903 0.366
13 Se 0.609 0.609 0.609


Entry from Alexandria via LeMat-Bulk: a geometry-optimized In12Sn5Ge3 structure (GGA-PBE).

## Properties
**Raw total energy**: -3.148 eV per atom
**Space-group type**: No. 230
**Crystal system**: cubic

a b c (Å): 14.815 14.815 14.815
angles (deg): 109.47 109.47 109.47
Fractional positions:
1 Sn 0.875 0.250 0.625
2 In 0.068 0.431 0.832
3 In 0.900 0.069 0.637
4 In 0.569 0.637 0.400
5 In 0.736 0.600 0.168
6 In 0.168 0.100 0.736
7 In 0.637 0.569 0.900
8 In 0.931 0.100 0.863
9 In 0.264 0.400 0.832
10 Sn 0.125 0.375 0.250
11 In 0.863 0.264 0.432
12 Sn 0.000 0.000 0.000
13 In 0.068 0.637 0.736
14 In 0.431 0.363 0.600
15 In 0.363 0.932 0.764
16 Sn 0.500 0.500 0.000
17 In 0.137 0.736 0.568
18 In 0.600 0.736 0.668
19 Ge 0.875 0.125 0.250
20 Ge 0.625 0.250 0.375
21 Ge 0.750 0.375 0.125
22 In 0.431 0.068 0.332
23 In 0.400 0.137 0.569
24 Ge 0.875 0.750 0.125
25 In 0.569 0.932 0.668
26 In 0.236 0.668 0.100
27 Sn 0.000 0.000 0.500
28 In 0.264 0.863 0.932
29 In 0.668 0.432 0.569
30 In 0.568 0.236 0.137
31 Sn 0.500 0.500 0.500
32 Ge 0.375 0.625 0.250
33 Sn 0.625 0.750 0.875
34 In 0.400 0.264 0.332
35 In 0.069 0.168 0.432
36 In 0.932 0.569 0.168
37 In 0.637 0.068 0.236
38 Sn 0.125 0.750 0.375
39 Sn 0.375 0.250 0.125
40 In 0.832 0.931 0.068
41 In 0.764 0.332 0.900
42 Sn 0.250 0.875 0.125
43 In 0.600 0.863 0.431
44 In 0.568 0.332 0.931
45 Sn 0.250 0.375 0.625
46 In 0.236 0.568 0.637
47 In 0.332 0.568 0.431
48 In 0.832 0.900 0.264
49 In 0.069 0.900 0.137
50 Sn 0.875 0.625 0.750
51 Ge 0.250 0.125 0.375
52 In 0.736 0.137 0.068
53 Sn 0.625 0.875 0.250
54 In 0.932 0.363 0.264
55 Ge 0.125 0.250 0.875
56 Sn 0.500 0.000 0.500
57 Sn 0.375 0.125 0.750
58 In 0.863 0.600 0.931
59 In 0.100 0.931 0.363
60 In 0.100 0.168 0.236
61 Ge 0.750 0.875 0.625
62 In 0.900 0.832 0.764
63 Ge 0.250 0.625 0.875
64 In 0.931 0.832 0.568
65 Ge 0.375 0.750 0.625
66 Sn 0.000 0.500 0.500
67 Sn 0.750 0.125 0.875
68 In 0.363 0.431 0.100
69 In 0.668 0.236 0.600
70 Sn 0.500 0.000 0.000
71 Ge 0.625 0.375 0.750
72 In 0.137 0.400 0.069
73 Sn 0.000 0.500 0.000
74 In 0.332 0.764 0.400
75 Sn 0.750 0.625 0.375
76 In 0.168 0.069 0.932
77 Ge 0.125 0.875 0.750
78 In 0.432 0.668 0.069
79 In 0.432 0.764 0.863
80 In 0.764 0.432 0.363


Entry from Alexandria via LeMat-Bulk: a geometry-optimized AcTb2Sb structure (GGA-PBE).

## Properties
**Raw formation energy**: -472 meV/atom
**Raw total energy**: -4.845 eV per atom
**Space-group type**: No. 123
**Crystal system**: tetragonal

a b c (Å): 4.006 4.006 7.878
angles (deg): 90.00 90.00 90.00
Fractional positions:
1 Tb 0.000 0.000 0.703
2 Tb 0.000 0.000 0.297
3 Sb 0.500 0.500 0.500
4 Ac 0.500 0.500 0.000


Entry from Alexandria via LeMat-Bulk: a geometry-optimized LaNd3Y2Se6 structure (GGA-PBE).

## Properties
**Raw formation energy**: -1843 meV/atom
**Raw total energy**: -6.265 eV per atom
**Space-group type**: No. 12
**Crystal system**: monoclinic

a b c (Å): 7.269 7.269 7.286
angles (deg): 99.57 99.57 120.20
Fractional positions:
1 Nd 0.500 0.500 0.500
2 Y 0.333 0.667 0.000
3 Se 0.575 0.918 0.755
4 La 0.000 0.000 0.000
5 Nd 0.839 0.161 0.500
6 Se 0.918 0.575 0.755
7 Nd 0.161 0.839 0.500
8 Se 0.425 0.082 0.245
9 Se 0.265 0.265 0.761
10 Y 0.667 0.333 0.000
11 Se 0.082 0.425 0.245
12 Se 0.735 0.735 0.239


- Which value of raw total energy does entry 2 give?
  -3.148 eV per atom


- What is the raw total energy in the first record?
  -5.626 eV per atom


- raw total energy of number 2 (In12Sn5Ge3)?
  -3.148 eV per atom